Material: Tb5Sm12Cd2
Method: DFT, PBE
State: optimized geometry

Energy of formation = 0.043 eV per atom
Electronic total energy = -4.2521 eV/atom
N(E_F) = 1.52 states/eV/atom

a = 15.6063 Å, b = 9.2598 Å, c = 8.4910 Å
α = 90.00°, β = 92.67°, γ = 90.00°
Space group C2/m (No. 12)
Inequivalent atoms, fractional coordinates:
Tb 0.0000 0.0000 0.0000 (multiplicity 2)
Tb 0.1977 0.5000 0.5187 (multiplicity 4)
Tb 0.2327 0.0000 0.0763 (multiplicity 4)
Sm 0.0570 0.5000 0.8289 (multiplicity 4)
Sm 0.0799 0.0000 0.3824 (multiplicity 4)
Sm 0.1261 0.3058 0.1726 (multiplicity 8)
Sm 0.1474 0.1844 0.7364 (multiplicity 8)
Cd 0.0000 0.3296 0.5000 (multiplicity 4)